First-principles (GGA-PBE) data for a relaxed NiBi2Se crystal, as listed in Alexandria.

a = 4.021 Å, b = 4.021 Å, c = 7.295 Å
α = 74.00°, β = 74.00°, γ = 60.00°
Element x y z (fractional)
Ni: 0.000 0.000 0.000
Bi: 0.265 0.265 0.205
Bi: 0.735 0.735 0.795
Se: 0.500 0.500 0.500

## Properties
Space-group type ... R-3m
Formation energy without anion corrections ... -0.011 eV per atom


First-principles (GGA-PBE) data for a relaxed Ni2Bi2Se crystal, as listed in Alexandria.

a = 7.156 Å, b = 7.156 Å, c = 3.877 Å
α = 90.00°, β = 90.00°, γ = 90.00°
Element x y z (fractional)
Ni: 0.372 0.872 0.000
Ni: 0.872 0.628 0.000
Ni: 0.628 0.128 0.000
Ni: 0.128 0.372 0.000
Bi: 0.163 0.663 0.500
Bi: 0.663 0.837 0.500
Bi: 0.837 0.337 0.500
Bi: 0.337 0.163 0.500
Se: 0.000 0.000 0.000
Se: 0.500 0.500 0.000

## Properties
Space-group type ... P4/mbm
Formation energy without anion corrections ... 0.101 eV per atom


First-principles (GGA-PBE) data for a relaxed NiBiSe2 crystal, as listed in Alexandria.

a = 8.679 Å, b = 8.679 Å, c = 8.679 Å
α = 23.84°, β = 23.84°, γ = 23.84°
Element x y z (fractional)
Ni: 0.500 0.500 0.500
Bi: 0.000 0.000 0.000
Se: 0.883 0.883 0.883
Se: 0.117 0.117 0.117

## Properties
Space-group type ... R-3m
Formation energy without anion corrections ... -0.210 eV per atom


First-principles (GGA-PBE) data for a relaxed NiBiSe2 crystal, as listed in Alexandria.

a = 3.628 Å, b = 3.628 Å, c = 7.773 Å
α = 76.50°, β = 76.50°, γ = 60.00°
Element x y z (fractional)
Ni: 0.666 0.666 0.002
Bi: 0.496 0.496 0.513
Se: 0.059 0.059 0.823
Se: 0.279 0.279 0.162

## Properties
Space-group type ... R3m
Formation energy without anion corrections ... -0.171 eV per atom


First-principles (GGA-PBE) data for a relaxed Ni5Bi3Se12 crystal, as listed in Alexandria.

a = 13.343 Å, b = 13.343 Å, c = 13.343 Å
α = 109.47°, β = 109.47°, γ = 109.47°
Element x y z (fractional)
Bi: 0.750 0.375 0.125
Bi: 0.875 0.750 0.125
Bi: 0.375 0.750 0.625
Bi: 0.250 0.125 0.375
Bi: 0.875 0.125 0.250
Bi: 0.375 0.625 0.250
Bi: 0.625 0.375 0.750
Bi: 0.125 0.875 0.750
Bi: 0.750 0.875 0.625
Bi: 0.625 0.250 0.375
Bi: 0.125 0.250 0.875
Bi: 0.250 0.625 0.875
Ni: 0.125 0.375 0.250
Ni: 0.000 0.500 0.000
Ni: 0.000 0.000 0.000
Ni: 0.375 0.250 0.125
Ni: 0.500 0.000 0.500
Ni: 0.500 0.500 0.000
Ni: 0.125 0.750 0.375
Ni: 0.750 0.125 0.875
Ni: 0.750 0.625 0.375
Ni: 0.375 0.125 0.750
Ni: 0.625 0.875 0.250
Ni: 0.500 0.500 0.500
Ni: 0.500 0.000 0.000
Ni: 0.000 0.000 0.500
Ni: 0.250 0.375 0.625
Ni: 0.250 0.875 0.125
Ni: 0.000 0.500 0.500
Ni: 0.875 0.250 0.625
Ni: 0.625 0.750 0.875
Ni: 0.875 0.625 0.750
Se: 0.698 0.114 0.019
Se: 0.322 0.519 0.406
Se: 0.981 0.386 0.302
Se: 0.519 0.198 0.114
Se: 0.584 0.698 0.678
Se: 0.981 0.594 0.178
Se: 0.322 0.802 0.416
Se: 0.094 0.916 0.114
Se: 0.594 0.981 0.678
Se: 0.698 0.584 0.178
Se: 0.802 0.481 0.386
Se: 0.822 0.906 0.019
Se: 0.114 0.698 0.519
Se: 0.386 0.406 0.084
Se: 0.084 0.906 0.386
Se: 0.416 0.114 0.594
Se: 0.084 0.178 0.198
Se: 0.481 0.678 0.094
Se: 0.822 0.916 0.302
Se: 0.114 0.416 0.094
Se: 0.386 0.981 0.802
Se: 0.594 0.614 0.416
Se: 0.906 0.822 0.519
Se: 0.802 0.322 0.916
Se: 0.406 0.386 0.584
Se: 0.094 0.178 0.481
Se: 0.198 0.678 0.084
Se: 0.178 0.084 0.698
Se: 0.614 0.019 0.198
Se: 0.886 0.584 0.906
Se: 0.519 0.322 0.906
Se: 0.584 0.886 0.406
Se: 0.916 0.822 0.802
Se: 0.916 0.094 0.614
Se: 0.886 0.302 0.481
Se: 0.178 0.094 0.981
Se: 0.614 0.594 0.916
Se: 0.406 0.019 0.322
Se: 0.302 0.416 0.822
Se: 0.198 0.519 0.614
Se: 0.906 0.084 0.886
Se: 0.678 0.198 0.584
Se: 0.481 0.802 0.886
Se: 0.019 0.406 0.822
Se: 0.416 0.302 0.322
Se: 0.019 0.614 0.698
Se: 0.678 0.481 0.594
Se: 0.302 0.886 0.981

## Properties
Space-group type ... Ia-3d
Formation energy without anion corrections ... -0.173 eV per atom


First-principles (GGA-PBE) data for a relaxed NiBi3Se crystal, as listed in Alexandria.

a = 5.164 Å, b = 5.164 Å, c = 5.164 Å
α = 90.00°, β = 90.00°, γ = 90.00°
Element x y z (fractional)
Ni: 0.000 0.000 0.000
Bi: 0.000 0.500 0.000
Bi: 0.000 0.000 0.500
Bi: 0.500 0.000 0.000
Se: 0.500 0.500 0.500

## Properties
Space-group type ... Pm-3m
Formation energy without anion corrections ... 0.311 eV per atom


First-principles (GGA-PBE) data for a relaxed Ni2BiSe2 crystal, as listed in Alexandria.

a = 4.095 Å, b = 4.095 Å, c = 6.168 Å
α = 70.61°, β = 70.61°, γ = 90.00°
Element x y z (fractional)
Ni: 0.381 0.381 0.237
Ni: 0.619 0.619 0.763
Bi: 0.000 0.000 0.000
Se: 0.750 0.250 0.500
Se: 0.250 0.750 0.500

## Properties
Space-group type ... I4/mmm
Formation energy without anion corrections ... 0.112 eV per atom


First-principles (GGA-PBE) data for a relaxed NiBi2Se2 crystal, as listed in Alexandria.

a = 6.441 Å, b = 6.441 Å, c = 6.008 Å
α = 90.00°, β = 90.00°, γ = 90.00°
Element x y z (fractional)
Ni: 0.000 0.000 0.000
Ni: 0.500 0.500 0.000
Bi: 0.302 0.802 0.500
Bi: 0.802 0.698 0.500
Bi: 0.698 0.198 0.500
Bi: 0.198 0.302 0.500
Se: 0.331 0.831 0.000
Se: 0.831 0.669 0.000
Se: 0.669 0.169 0.000
Se: 0.169 0.331 0.000

## Properties
Space-group type ... P4/mbm
Formation energy without anion corrections ... -0.031 eV per atom


First-principles (GGA-PBE) data for a relaxed SrNiBi2Se crystal, as listed in Alexandria.

a = 6.177 Å, b = 4.739 Å, c = 6.177 Å
α = 90.00°, β = 90.00°, γ = 90.00°
Element x y z (fractional)
Sr: 0.000 0.000 0.000
Bi: 0.000 0.000 0.500
Bi: 0.500 0.000 0.000
Se: 0.500 0.500 0.500
Ni: 0.000 0.500 0.000

## Properties
Space-group type ... P4/mmm
Formation energy without anion corrections ... 1.152 eV per atom


First-principles (GGA-PBE) data for a relaxed TcNi2BiSe crystal, as listed in Alexandria.

a = 4.688 Å, b = 4.621 Å, c = 4.688 Å
α = 90.00°, β = 90.00°, γ = 90.00°
Element x y z (fractional)
Ni: 0.000 0.000 0.500
Ni: 0.500 0.000 0.000
Bi: 0.500 0.500 0.500
Se: 0.000 0.500 0.000
Tc: 0.000 0.000 0.000

## Properties
Space-group type ... P4/mmm
Formation energy without anion corrections ... 0.737 eV per atom


First-principles (GGA-PBE) data for a relaxed TiNi2BiSe crystal, as listed in Alexandria.

a = 4.605 Å, b = 4.769 Å, c = 4.605 Å
α = 90.00°, β = 90.00°, γ = 90.00°
Element x y z (fractional)
Ni: 0.000 0.000 0.500
Ni: 0.500 0.000 0.000
Bi: 0.500 0.500 0.500
Se: 0.000 0.500 0.000
Ti: 0.000 0.000 0.000

## Properties
Space-group type ... P4/mmm
Formation energy without anion corrections ... 0.431 eV per atom


First-principles (GGA-PBE) data for a relaxed Si2NiBi4 crystal, as listed in Alexandria.

a = 5.351 Å, b = 5.351 Å, c = 7.712 Å
α = 69.70°, β = 69.70°, γ = 90.00°
Element x y z (fractional)
Ni: 0.000 0.000 0.000
Si: 0.592 0.592 0.815
Si: 0.408 0.408 0.185
Bi: 0.798 0.798 0.404
Bi: 0.202 0.202 0.596
Bi: 0.000 0.500 0.000
Bi: 0.500 0.000 0.000

## Properties
Space-group type ... I4/mmm
Formation energy without anion corrections ... 0.506 eV per atom


First-principles (GGA-PBE) data for a relaxed SiNi2Bi crystal, as listed in Alexandria.

a = 4.364 Å, b = 4.364 Å, c = 8.163 Å
α = 74.50°, β = 74.50°, γ = 90.00°
Element x y z (fractional)
Ni: 0.521 0.125 0.250
Ni: 0.229 0.625 0.250
Ni: 0.375 0.479 0.750
Ni: 0.875 0.771 0.750
Si: 0.500 0.500 0.000
Si: 0.250 0.750 0.500
Bi: 0.000 0.000 0.000
Bi: 0.750 0.250 0.500

## Properties
Space-group type ... I-42d
Formation energy without anion corrections ... 0.119 eV per atom


First-principles (GGA-PBE) data for a relaxed Si3NiBi crystal, as listed in Alexandria.

a = 4.557 Å, b = 4.557 Å, c = 4.557 Å
α = 90.00°, β = 90.00°, γ = 90.00°
Element x y z (fractional)
Ni: 0.000 0.000 0.000
Si: 0.000 0.500 0.000
Si: 0.000 0.000 0.500
Si: 0.500 0.000 0.000
Bi: 0.500 0.500 0.500

## Properties
Space-group type ... Pm-3m
Formation energy without anion corrections ... 0.362 eV per atom


First-principles (GGA-PBE) data for a relaxed SiNi2Bi crystal, as listed in Alexandria.

a = 4.460 Å, b = 4.460 Å, c = 4.460 Å
α = 60.00°, β = 60.00°, γ = 60.00°
Element x y z (fractional)
Ni: 0.250 0.250 0.250
Ni: 0.750 0.750 0.750
Si: 0.000 0.000 0.000
Bi: 0.500 0.500 0.500

## Properties
Space-group type ... Fm-3m
Formation energy without anion corrections ... 0.252 eV per atom


First-principles (GGA-PBE) data for a relaxed SiNiBi2 crystal, as listed in Alexandria.

a = 6.162 Å, b = 6.162 Å, c = 7.451 Å
α = 65.58°, β = 65.58°, γ = 90.00°
Element x y z (fractional)
Ni: 0.000 0.000 0.000
Ni: 0.750 0.250 0.500
Si: 0.500 0.500 0.000
Si: 0.250 0.750 0.500
Bi: 0.653 0.125 0.250
Bi: 0.097 0.625 0.250
Bi: 0.375 0.347 0.750
Bi: 0.875 0.903 0.750

## Properties
Space-group type ... I-42d
Formation energy without anion corrections ... 0.359 eV per atom


First-principles (GGA-PBE) data for a relaxed ZnSiNiBi2 crystal, as listed in Alexandria.

a = 5.461 Å, b = 4.437 Å, c = 5.461 Å
α = 90.00°, β = 90.00°, γ = 90.00°
Element x y z (fractional)
Ni: 0.500 0.500 0.500
Zn: 0.000 0.500 0.000
Si: 0.000 0.000 0.000
Bi: 0.000 0.000 0.500
Bi: 0.500 0.000 0.000

## Properties
Space-group type ... P4/mmm
Formation energy without anion corrections ... 0.868 eV per atom


First-principles (GGA-PBE) data for a relaxed Sm12Ni5Bi crystal, as listed in Alexandria.

a = 8.562 Å, b = 8.562 Å, c = 8.562 Å
α = 106.78°, β = 112.13°, γ = 109.55°
Element x y z (fractional)
Sm: 0.521 0.820 0.701
Sm: 0.479 0.180 0.299
Sm: 0.881 0.180 0.701
Sm: 0.119 0.820 0.299
Sm: 0.691 0.680 0.371
Sm: 0.309 0.320 0.629
Sm: 0.309 0.680 0.989
Sm: 0.691 0.320 0.011
Sm: 0.809 0.607 0.798
Sm: 0.191 0.393 0.202
Sm: 0.191 0.989 0.798
Sm: 0.809 0.011 0.202
Ni: 0.630 0.630 0.000
Ni: 0.370 0.370 0.000
Ni: 0.500 0.123 0.623
Ni: 0.500 0.877 0.377
Ni: 0.000 0.000 0.000
Bi: 0.000 0.500 0.500

## Properties
Space-group type ... Immm
Calculated formation energy ... -0.315 eV per atom


First-principles (GGA-PBE) data for a relaxed Sm12NiBi6 crystal, as listed in Alexandria.

a = 8.825 Å, b = 8.825 Å, c = 8.825 Å
α = 99.53°, β = 99.53°, γ = 99.53°
Element x y z (fractional)
Sm: 0.802 0.585 0.453
Sm: 0.453 0.802 0.585
Sm: 0.585 0.453 0.802
Sm: 0.198 0.415 0.547
Sm: 0.547 0.198 0.415
Sm: 0.415 0.547 0.198
Sm: 0.055 0.993 0.309
Sm: 0.007 0.691 0.945
Sm: 0.691 0.945 0.007
Sm: 0.945 0.007 0.691
Sm: 0.993 0.309 0.055
Sm: 0.309 0.055 0.993
Ni: 0.000 0.000 0.000
Bi: 0.685 0.881 0.353
Bi: 0.647 0.315 0.119
Bi: 0.119 0.647 0.315
Bi: 0.315 0.119 0.647
Bi: 0.353 0.685 0.881
Bi: 0.881 0.353 0.685

## Properties
Space-group type ... R-3
Calculated formation energy ... -0.476 eV per atom


First-principles (GGA-PBE) data for a relaxed Sm5Ni2Bi crystal, as listed in Alexandria.

a = 7.897 Å, b = 7.897 Å, c = 8.828 Å
α = 116.57°, β = 116.57°, γ = 90.00°
Element x y z (fractional)
Sm: 0.521 0.710 0.730
Sm: 0.790 0.979 0.270
Sm: 0.000 0.000 0.000
Sm: 0.500 0.500 0.000
Sm: 0.210 0.021 0.730
Sm: 0.710 0.210 0.730
Sm: 0.021 0.521 0.730
Sm: 0.290 0.790 0.270
Sm: 0.979 0.479 0.270
Sm: 0.479 0.290 0.270
Ni: 0.131 0.369 0.000
Ni: 0.631 0.131 0.000
Ni: 0.369 0.869 0.000
Ni: 0.869 0.631 0.000
Bi: 0.750 0.750 0.500
Bi: 0.250 0.250 0.500

## Properties
Space-group type ... I4/mcm
Calculated formation energy ... -0.409 eV per atom


For reference, spin magnetization by record: 0.00 0.00 0.00 0.00 0.00 0.00 0.00 0.00 0.00 0.00 0.00 0.00 0.00 0.00 0.00 0.00 0.00 0.00 0.00 0.00 μB per cell.
For reference, calculated volume by record: 96.83 198.56 93.83 85.34 1828.62 137.69 91.33 249.21 180.80 101.54 101.14 192.42 143.91 94.65 62.75 229.50 132.31 482.17 655.23 426.44 Å³/cell.
For reference, final energy by record: -17.07 -44.60 -17.47 -17.31 -343.31 -19.35 -21.85 -41.33 -12.95 -25.61 -24.67 -28.61 -40.78 -24.12 -19.86 -35.06 -15.90 -95.09 -94.73 -84.63 eV/cell.